Record 1
Entry from Alexandria: a relaxed Ta2AgP crystal (PBE).

Calculated values
E	-32.00	eV for the cell shown
size of the total moment	0.00	μB per formula unit
E_form	-0.169	kcal/mol of atoms
density of states at the Fermi level	2.06	states/eV/cell

```
Ta2AgP
1.0
-4.494 2.107 -0.285
-4.380 -0.286 2.334
-1.160 3.402 3.159
Ta Ag P
2 1 1
direct
0.963 0.963 0.036
0.537 0.537 0.464
0.750 0.750 0.750
0.250 0.250 0.250
```


Record 2
Entry from Alexandria: a relaxed NbP3Ir crystal (PBE).

Calculated values
E	-29.47	eV for the cell shown
size of the total moment	0.81	μB per formula unit
E_form	26.256	kcal/mol of atoms
density of states at the Fermi level	4.28	states/eV/cell

```
NbP3Ir
1.0
-0.038 -4.304 -1.946
4.723 -0.005 -0.081
0.072 -1.947 4.303
Ir P Nb
1 3 1
direct
0.500 0.500 0.500
0.000 0.000 0.500
0.000 0.500 0.000
0.500 0.000 0.000
0.000 0.000 0.000
```


Record 3
Entry from Alexandria: a relaxed CrMo2Au crystal (PBE).

Calculated values
E	-33.63	eV for the cell shown
size of the total moment	0.00	μB per formula unit
E_form	5.393	kcal/mol of atoms
density of states at the Fermi level	3.20	states/eV/cell

```
CrMo2Au
1.0
-0.776 1.771 1.885
-1.002 -2.407 0.704
7.357 -1.707 4.634
Mo Au Cr
2 1 1
direct
0.500 0.500 0.240
0.000 0.000 0.988
0.000 0.000 0.511
0.500 0.500 0.762
```


Record 4
Entry from Alexandria: a relaxed Pm4Sm2Ho3 crystal (PBE).

Calculated values
E	-41.69	eV for the cell shown
size of the total moment	0.00	μB per formula unit
E_form	1.238	kcal/mol of atoms
density of states at the Fermi level	16.72	states/eV/cell

```
Pm4Sm2Ho3
1.0
3.619 0.000 0.000
-1.810 3.134 0.000
0.000 0.000 26.741
Ho Sm Pm
3 2 4
direct
0.000 0.000 0.981
0.667 0.333 0.653
0.000 0.000 0.324
0.667 0.333 0.873
0.667 0.333 0.086
0.667 0.333 0.433
0.000 0.000 0.545
0.667 0.333 0.219
0.000 0.000 0.762
```


Q: What is the formula in the third record?
A: CrMo2Au